Entry 1:
Entry from Alexandria via LeMat-Bulk: a relaxed structure of AsBr2O (PBE).

Unit cell a=4.7212 b=4.7212 c=4.7212 alpha=60.00 beta=60.00 gamma=60.00
Last column: magnetic moment on the atom in μB.
Element x y z (fractional)
As 0.5000 0.5000 0.5000  -0.12
O 0.0000 0.0000 0.0000  0.88
Br 0.2500 0.2500 0.2500  0.08
Br 0.7500 0.7500 0.7500  0.08

Results
- Energy above the most stable polymorph in this dataset: 214.3 meV/atom
- Space group: Fm-3m
- Crystal system: cubic
- VASP energy: -2.5716 eV/atom
- Formation energy (no corrections): 667 meV/atom

Entry 2:
Entry from Alexandria via LeMat-Bulk: a relaxed structure of Ta4VW2 (PBE).

Unit cell a=5.5093 b=5.5093 c=5.5093 alpha=109.65 beta=109.38 gamma=109.38
Element x y z (fractional)
V 0.0000 0.0000 0.0000
Ta 0.0000 0.5000 0.0000
Ta 0.5000 0.0000 0.0000
W 0.5000 0.5000 0.0000
Ta 0.0000 0.0000 0.5000
W 0.5000 0.0000 0.5000
Ta 0.5000 0.5000 0.5000

Results
- Space group: I4/mmm
- Crystal system: tetragonal
- VASP energy: -11.4698 eV/atom
- ΔE_f: 307 meV/atom